Computed, not measured: a relaxed structure of In2BiSbPd at the GGA-PBE level of DFT.

Lattice parameters (Å, degrees): 5.1775 5.3824 5.1775 90.00 90.00 90.00
Element x y z (fractional)
In 0.0000 0.0000 0.5000
Pd 0.0000 0.0000 0.0000
Bi 0.5000 0.5000 0.5000
Sb 0.0000 0.5000 0.0000
In 0.5000 0.0000 0.0000

Computed properties:
magnetic moment = 0.0 μB/f.u.
electronic total energy = -3.719 eV per atom
SG = P4/mmm (123)
density of states at the Fermi level = 2.8 states/eV/cell

Computed, not measured: a relaxed structure of Ba2CaPaAs4 at the GGA-PBE level of DFT.

Lattice parameters (Å, degrees): 4.4296 7.6085 7.8657 109.30 90.00 90.00
Element x y z (fractional)
As 0.0000 0.7564 0.2087
As 0.5000 0.2177 0.2043
Ba 0.5000 0.0000 0.5000
Ca 0.5000 0.5000 0.0000
Pa 0.0000 0.0000 0.0000
As 0.0000 0.2436 0.7913
As 0.5000 0.7823 0.7957
Ba 0.0000 0.5000 0.5000

Computed properties:
magnetic moment = 0.0 μB/f.u.
electronic total energy = -5.293 eV per atom
calculated formation energy = -1.050 eV/atom
SG = P2/m (10)
density of states at the Fermi level = 9.2 states/eV/cell

Computed, not measured: a relaxed structure of MgTiNF2 at the GGA-PBE level of DFT.

Lattice parameters (Å, degrees): 3.5391 3.5391 4.7713 90.00 90.00 90.00
Element x y z (fractional)
Mg 0.0000 0.0000 0.0000
F 0.5000 0.0000 0.0000
F 0.0000 0.5000 0.0000
N 0.0000 0.0000 0.5000
Ti 0.5000 0.5000 0.5000

Computed properties:
magnetic moment = 1.0 μB/f.u.
energy relative to the lowest polymorph listed for this composition = 189 meV per atom
electronic total energy = -5.894 eV per atom
SG = P4/mmm (123)
density of states at the Fermi level = 3.4 states/eV/cell

Computed, not measured: a relaxed structure of TlGeIN2 at the GGA-PBE level of DFT.

Lattice parameters (Å, degrees): 4.4227 4.4227 6.5348 90.00 90.00 90.00
Element x y z (fractional)
Ge 0.5000 0.5000 0.5000
N 0.5000 0.0000 0.0000
I 0.0000 0.0000 0.5000
N 0.0000 0.5000 0.0000
Tl 0.0000 0.0000 0.0000

Computed properties:
magnetic moment = 1.9 μB/f.u.
energy relative to the lowest polymorph listed for this composition = 540 meV per atom
electronic total energy = -3.235 eV per atom
SG = P4/mmm (123)
density of states at the Fermi level = 2.4 states/eV/cell

Computed, not measured: a relaxed structure of Ca2MnCu at the GGA-PBE level of DFT.

Lattice parameters (Å, degrees): 3.6461 3.6461 7.2021 90.00 90.00 90.00
Element x y z (fractional)
Ca 0.0000 0.0000 0.4904
Mn 0.5000 0.5000 0.7500
Ca 0.0000 0.0000 0.0096
Cu 0.5000 0.5000 0.2500

Computed properties:
magnetic moment = 4.0 μB/f.u.
energy relative to the lowest polymorph listed for this composition = 80 meV per atom
electronic total energy = -4.072 eV per atom
calculated formation energy = 0.245 eV/atom
SG = P4/mmm (123)
density of states at the Fermi level = 3.4 states/eV/cell

Computed, not measured: a relaxed structure of Be3AgAu2 at the GGA-PBE level of DFT.

Lattice parameters (Å, degrees): 3.0032 3.0032 8.6692 90.00 90.00 90.00
Element x y z (fractional)
Ag 0.5000 0.5000 0.5000
Au 0.5000 0.5000 0.1679
Be 0.0000 0.0000 0.3254
Be 0.0000 0.0000 0.0000
Be 0.0000 0.0000 0.6746
Au 0.5000 0.5000 0.8321

Computed properties:
magnetic moment = 0.0 μB/f.u.
electronic total energy = -3.462 eV per atom
calculated formation energy = -0.031 eV/atom
SG = P4/mmm (123)
density of states at the Fermi level = 1.6 states/eV/cell

Computed, not measured: a relaxed structure of Rb2HWI6 at the GGA-PBE level of DFT.

Lattice parameters (Å, degrees): 9.0145 9.0145 8.0085 55.75 55.75 90.00
Element x y z (fractional)
I 0.7822 0.2178 0.0000
I 0.7822 0.7822 0.0000
W 0.0000 0.0000 0.0000
I 0.3013 0.3013 0.3973
I 0.2178 0.2178 0.0000
Rb 0.2500 0.7500 0.5000
I 0.6987 0.6987 0.6027
I 0.2178 0.7822 0.0000
Rb 0.7500 0.2500 0.5000
H 0.5000 0.5000 0.0000

Computed properties:
magnetic moment = 3.0 μB/f.u.
electronic total energy = -3.211 eV per atom
SG = I4/mmm (139)
density of states at the Fermi level = 3.2 states/eV/cell

Computed, not measured: a relaxed structure of NaCd at the GGA-PBE level of DFT.

Lattice parameters (Å, degrees): 3.7568 5.2340 6.3525 108.89 90.00 90.00
Element x y z (fractional)
Na 0.2500 0.6621 0.2863
Na 0.7500 0.3379 0.7137
Cd 0.2500 0.8714 0.8174
Cd 0.7500 0.1286 0.1826

Computed properties:
magnetic moment = 0.0 μB/f.u.
electronic total energy = -1.139 eV per atom
calculated formation energy = -0.022 eV/atom
SG = P2_1/m (11)
density of states at the Fermi level = 2.1 states/eV/cell

Computed, not measured: a relaxed structure of LiLa3Tb2Se6 at the GGA-PBE level of DFT.

Lattice parameters (Å, degrees): 7.2526 7.2526 7.2701 99.59 99.59 120.11
Element x y z (fractional)
Se 0.9238 0.5973 0.7701
Se 0.0762 0.4027 0.2299
Se 0.4027 0.0762 0.2299
Tb 0.3342 0.6658 0.0000
La 0.1669 0.8331 0.5000
Se 0.5973 0.9238 0.7701
Se 0.2488 0.2488 0.7712
Tb 0.6658 0.3342 0.0000
Li 0.0000 0.0000 0.0000
La 0.5000 0.5000 0.5000
La 0.8331 0.1669 0.5000
Se 0.7512 0.7512 0.2288

Computed properties:
magnetic moment = 0.0 μB/f.u.
electronic total energy = -5.756 eV per atom
SG = C2/m (12)
density of states at the Fermi level = 6.0 states/eV/cell

Computed, not measured: a relaxed structure of PrHo4Te5 at the GGA-PBE level of DFT.

Lattice parameters (Å, degrees): 4.3494 4.3494 15.9869 97.82 97.82 90.00
Element x y z (fractional)
Te 0.3058 0.3058 0.6116
Te 0.5000 0.5000 0.0000
Te 0.6942 0.6942 0.3884
Ho 0.5945 0.5945 0.1889
Pr 0.0000 0.0000 0.0000
Te 0.1055 0.1055 0.2109
Te 0.8945 0.8945 0.7891
Ho 0.7912 0.7912 0.5823
Ho 0.2088 0.2088 0.4177
Ho 0.4055 0.4055 0.8111

Computed properties:
magnetic moment = 0.0 μB/f.u.
energy relative to the lowest polymorph listed for this composition = 7 meV per atom
electronic total energy = -5.160 eV per atom
SG = I4/mmm (139)
density of states at the Fermi level = 5.4 states/eV/cell

Computed, not measured: a relaxed structure of PuPa4Tc5 at the GGA-PBE level of DFT.

Lattice parameters (Å, degrees): 3.4424 3.4424 17.1034 90.00 90.00 90.00
Element x y z (fractional)
Tc 0.5000 0.5000 0.7011
Tc 0.5000 0.5000 0.5000
Pa 0.0000 0.0000 0.1968
Tc 0.5000 0.5000 0.1066
Pu 0.0000 0.0000 0.0000
Pa 0.0000 0.0000 0.6002
Pa 0.0000 0.0000 0.3998
Tc 0.5000 0.5000 0.8934
Tc 0.5000 0.5000 0.2989
Pa 0.0000 0.0000 0.8032

Computed properties:
magnetic moment = 4.7 μB/f.u.
electronic total energy = -10.529 eV per atom
calculated formation energy = -0.115 eV/atom
SG = P4/mmm (123)
density of states at the Fermi level = 14.7 states/eV/cell

Computed, not measured: a relaxed structure of Li2TiNbGe at the GGA-PBE level of DFT.

Lattice parameters (Å, degrees): 4.3305 4.7581 4.3305 90.00 90.00 90.00
Element x y z (fractional)
Ge 0.0000 0.5000 0.0000
Li 0.5000 0.0000 0.0000
Li 0.0000 0.0000 0.5000
Nb 0.5000 0.5000 0.5000
Ti 0.0000 0.0000 0.0000

Computed properties:
magnetic moment = 1.3 μB/f.u.
electronic total energy = -4.273 eV per atom
calculated formation energy = 1.009 eV/atom
SG = P4/mmm (123)
density of states at the Fermi level = 2.7 states/eV/cell